# 1
First-principles (PBE) data for a geometry-optimized AgPRu2 structure, as listed in Alexandria via LeMat-Bulk.

Lattice parameters (Å, degrees): 5.1332 5.1332 2.8069 104.55 104.55 115.07
Positions (direct):
Ag 0.0000 0.0000 0.0000
P 0.5000 0.5000 0.0000
Ru 0.0000 0.5000 0.5000
Ru 0.5000 0.0000 0.5000

Calculated values
ΔE to the lowest computed polymorph: 577 meV per atom
Formation energy: 0.55 eV/atom
Theoretical density: 9.56 g cm⁻³
Crystal system: monoclinic
Symmetry: C2/m, No. 12

# 2
First-principles (PBE) data for a geometry-optimized CsKTeH6SO10 structure, as listed in Alexandria via LeMat-Bulk.

Lattice parameters (Å, degrees): 12.7386 6.7317 15.2821 90.00 126.14 90.00
Positions (direct):
Cs 0.0000 0.0233 0.0000
Cs 0.0000 0.9767 0.5000
Cs 0.0024 0.4772 0.2716
Cs 0.0024 0.5228 0.7716
K 0.4655 0.4577 0.4816
K 0.4655 0.5423 0.9816
K 0.5366 0.0430 0.7914
K 0.5366 0.9570 0.2914
Te 0.2886 0.4973 0.6512
Te 0.2886 0.5027 0.1512
Te 0.7138 0.0028 0.6212
Te 0.7138 0.9972 0.1212
H 0.0509 0.4919 0.5666
H 0.0509 0.5081 0.0666
H 0.2477 0.2418 0.5154
H 0.2477 0.7582 0.0154
H 0.2568 0.2773 0.0049
H 0.2568 0.7227 0.5049
H 0.2986 0.1862 0.2457
H 0.2986 0.8138 0.7457
H 0.3105 0.2319 0.7742
H 0.3105 0.7681 0.2742
H 0.4786 0.0468 0.0506
H 0.4786 0.9532 0.5506
H 0.5239 0.4529 0.2223
H 0.5239 0.5471 0.7223
H 0.6917 0.2691 0.4985
H 0.6917 0.7309 0.9985
H 0.7035 0.3132 0.0263
H 0.7035 0.6868 0.5263
H 0.7455 0.2233 0.2672
H 0.7455 0.7767 0.7672
H 0.7549 0.2577 0.7576
H 0.7549 0.7423 0.2576
H 0.9512 0.0083 0.7053
H 0.9512 0.9917 0.2053
S 0.2274 0.0007 0.8660
S 0.2274 0.9993 0.3660
S 0.7749 0.4993 0.4065
S 0.7749 0.5007 0.9065
O 0.0937 0.0544 0.8288
O 0.0937 0.9456 0.3288
O 0.1295 0.4825 0.1426
O 0.1295 0.5175 0.6426
O 0.1977 0.3564 0.0147
O 0.1977 0.6436 0.5147
O 0.2313 0.2463 0.5720
O 0.2313 0.7537 0.0720
O 0.2370 0.0144 0.7728
O 0.2370 0.9856 0.2728
O 0.2581 0.2067 0.4092
O 0.2581 0.7933 0.9092
O 0.3234 0.1422 0.9535
O 0.3234 0.8578 0.4535
O 0.3616 0.2643 0.2405
O 0.3616 0.7357 0.7405
O 0.3690 0.3446 0.7854
O 0.3690 0.6554 0.2854
O 0.4461 0.4812 0.6574
O 0.4461 0.5188 0.1574
O 0.5566 0.0187 0.6156
O 0.5566 0.9813 0.1156
O 0.6330 0.1569 0.4875
O 0.6330 0.8431 0.9875
O 0.6402 0.2346 0.0311
O 0.6402 0.7654 0.5311
O 0.6790 0.3575 0.3192
O 0.6790 0.6425 0.8192
O 0.7441 0.2935 0.8632
O 0.7441 0.7065 0.3632
O 0.7656 0.4860 0.4998
O 0.7656 0.5140 0.9998
O 0.7719 0.2529 0.7012
O 0.7719 0.7471 0.2012
O 0.8048 0.1454 0.2571
O 0.8048 0.8546 0.7571
O 0.8725 0.0171 0.1293
O 0.8725 0.9829 0.6293
O 0.9086 0.4456 0.4434
O 0.9086 0.5544 0.9434

Calculated values
VASP energy: -421.46 eV for the cell shown
Theoretical density: 3.12 g cm⁻³
Crystal system: monoclinic
Symmetry: Pc, No. 7

# 3
First-principles (PBE) data for a geometry-optimized Pm4MgHg3 structure, as listed in Alexandria via LeMat-Bulk.

Lattice parameters (Å, degrees): 8.5820 8.5820 8.5820 143.44 143.44 52.66
Positions (direct):
Pm 0.1265 0.6265 0.5000
Pm 0.3735 0.8735 0.5000
Pm 0.6265 0.1265 0.5000
Pm 0.8735 0.3735 0.5000
Mg 0.0000 0.0000 0.0000
Hg 0.2483 0.2483 0.0000
Hg 0.5000 0.5000 0.0000
Hg 0.7517 0.7517 0.0000

Calculated values
Formation energy: -0.37 eV/atom
Theoretical density: 8.99 g cm⁻³
Crystal system: tetragonal
Symmetry: I4/mmm, No. 139

# 4
First-principles (PBE) data for a geometry-optimized ZrSc2Hg structure, as listed in Alexandria via LeMat-Bulk.

Lattice parameters (Å, degrees): 5.9533 5.9533 5.3741 114.27 114.27 31.78
Positions (direct):
Zr 0.0000 0.0000 0.0000
Sc 0.5413 0.5413 0.5383
Sc 0.7671 0.7671 0.1437
Hg 0.2705 0.2705 0.6090

Calculated values
Formation energy: -0.15 eV/atom
Theoretical density: 6.99 g cm⁻³
Crystal system: monoclinic
Symmetry: Cm, No. 8